Entry from Alexandria: a geometry-optimized CrGaPt structure (GGA-PBE).

Values from the calculation:
**Energy of formation from the pure elements**: -0.205 eV per atom
**DFT total energy**: -6.435 eV/atom

The structure in POSCAR format:
```
CrGaPt
1.0
5.814 0.000 0.081
0.000 3.782 0.000
-3.042 0.000 8.217
Pt Ga Cr
4 4 4
direct
0.932 0.500 0.570
0.432 0.500 0.570
0.932 0.000 0.070
0.432 0.000 0.070
0.600 0.500 0.905
0.600 0.000 0.405
0.100 0.000 0.405
0.100 0.500 0.905
0.267 0.000 0.739
0.767 0.500 0.239
0.267 0.500 0.239
0.767 0.000 0.739
```